Computed, not measured: crystalline Pa2IrRh at its relaxed geometry at the PBE level of DFT.

Computed properties:
DFT formation energy: -0.60 eV per atom
spin magnetization: 0.0 μB/f.u.
distance to the lowest polymorph of the same formula: 170.5 meV/atom

a b c (Å): 3.4563 3.4563 6.8837
angles (deg): 90.00 90.00 90.00
Space group P4/mmm (No. 123)
Unique sites:
1 Pa 0.0000 0.0000 0.2468 x2
2 Ir 0.5000 0.5000 0.0000 x1
3 Rh 0.5000 0.5000 0.5000 x1

***

Computed, not measured: crystalline PaIrRh at its relaxed geometry at the PBE level of DFT.

Computed properties:
DFT formation energy: -0.33 eV per atom
spin magnetization: 0.0 μB/f.u.
distance to the lowest polymorph of the same formula: 489.0 meV/atom

a b c (Å): 6.3948 6.3948 6.3948
angles (deg): 90.00 90.00 90.00
Space group F-43m (No. 216)
Unique sites:
1 Pa 0.0000 0.0000 0.0000 x4
2 Ir 0.2500 0.2500 0.2500 x4
3 Rh 0.2500 0.2500 0.7500 x4

***

The calculation returns the following E_tot values, one per record and in order: -9.398 -8.897 eV/atom.